Compound: CeYCl6
Source: Alexandria via LeMat-Bulk
Functional: PBE-GGA
Structure: optimized geometry

a b c (Å): 6.8490 6.8490 18.8290
angles (deg): 90.00 90.00 120.00
Space group R-3 (No. 148, hexagonal axes)
Inequivalent atoms, fractional coordinates:
Ce: 0.0000 0.0000 0.0000
Y: 0.0000 0.0000 0.5000
Cl: 0.0086 0.6522 0.2481

Calculated values
final energy = -5.146 eV per atom
E_form (uncorrected) = -2.211 eV/atom